[1]
A plane-wave DFT calculation with PBE-GGA was carried out for a geometry-optimized TbTiTlIn structure.

Geometry as POSCAR:
```
TbTiTlIn
1.0
-2.659 2.054 3.872
-4.490 -2.045 1.395
-0.400 -2.512 4.451
Tl Ti Tb In
1 1 1 1
Cartesian
-3.775 -1.251 4.859
-1.887 -0.626 2.429
-5.662 -1.877 7.288
0.000 0.000 0.000
```

electronic total energy	-4.5034	eV/atom

=====

[2]
A plane-wave DFT calculation with PBE-GGA was carried out for a geometry-optimized TbYTiIn structure.

Geometry as POSCAR:
```
TbYTiIn
1.0
-4.347 -1.662 -2.473
-3.762 -2.525 2.693
-4.620 2.363 0.919
Y Ti Tb In
1 1 1 1
Cartesian
0.000 0.000 0.000
-3.182 -0.456 0.285
-6.365 -0.911 0.569
-9.547 -1.367 0.854
```

electronic total energy	-5.5357	eV/atom

=====

[3]
A plane-wave DFT calculation with PBE-GGA was carried out for a geometry-optimized TbTiZnIn structure.

Geometry as POSCAR:
```
TbTiZnIn
1.0
-4.606 -0.960 -1.458
-2.043 -4.367 1.009
-3.620 -0.316 3.325
Zn Ti Tb In
1 1 1 1
Cartesian
-2.567 -1.411 0.719
-5.135 -2.821 1.438
0.000 0.000 0.000
-7.702 -4.232 2.157
```

electronic total energy	-4.3014	eV/atom

=====

[4]
A plane-wave DFT calculation with PBE-GGA was carried out for a geometry-optimized Tb4TlIn3 structure.

Geometry as POSCAR:
```
Tb4TlIn3
1.0
4.613 0.000 0.000
0.000 4.335 0.000
0.000 0.000 11.549
Tb Tl In
4 1 3
Cartesian
2.306 2.167 4.212
0.000 2.167 9.957
0.000 0.000 1.564
2.306 0.000 7.348
2.306 2.167 1.049
0.000 2.167 6.760
0.000 0.000 4.770
2.306 0.000 10.536
```

offset from the most stable computed form	0.045	eV per atom

=====

[5]
A plane-wave DFT calculation with PBE-GGA was carried out for a geometry-optimized Tb9Tl2In structure.

Geometry as POSCAR:
```
Tb9Tl2In
1.0
4.866 0.000 0.000
0.000 4.866 0.000
0.000 0.000 14.601
Tb Tl In
9 2 1
Cartesian
2.433 2.433 0.000
2.433 2.433 4.862
2.433 2.433 9.740
2.433 0.000 2.419
2.433 0.000 7.301
2.433 0.000 12.182
0.000 2.433 2.419
0.000 2.433 7.301
0.000 2.433 12.182
0.000 0.000 4.867
0.000 0.000 9.734
0.000 0.000 0.000
```

electronic total energy	-4.3090	eV/atom

=====

[6]
A plane-wave DFT calculation with PBE-GGA was carried out for a geometry-optimized Tb6Tl5In structure.

Geometry as POSCAR:
```
Tb6Tl5In
1.0
5.122 -0.031 1.707
0.040 7.524 0.013
-0.002 -0.015 8.544
Tl Tb In
5 6 1
Cartesian
3.435 3.731 6.836
1.706 -0.015 3.420
0.020 3.762 0.007
3.414 -0.031 6.831
1.725 3.747 3.428
4.301 5.617 4.273
4.280 1.846 4.266
2.571 1.859 0.857
2.591 5.634 0.864
0.880 5.632 5.998
0.860 1.861 5.991
0.000 0.000 0.000
```

offset from the most stable computed form	0.000	eV per atom

=====

[7]
A plane-wave DFT calculation with PBE-GGA was carried out for a geometry-optimized Tb5Tl2In structure.

Geometry as POSCAR:
```
Tb5Tl2In
1.0
-5.339 3.993 5.160
-4.237 -7.192 1.182
8.671 0.156 1.963
Tb Tl In
10 4 2
Cartesian
0.407 -2.880 4.765
-5.887 -3.919 5.944
0.000 0.000 0.000
-4.788 -1.600 3.171
4.982 0.876 2.361
1.496 1.486 5.169
3.893 -3.490 1.957
-2.401 -4.529 3.136
-4.798 0.446 6.348
-1.312 -0.163 3.540
-2.278 -1.980 1.166
-4.053 1.534 3.497
-5.522 -4.733 2.845
-7.298 -1.220 5.176
-2.846 -2.321 5.738
1.941 -0.722 2.567
```

electronic total energy	-4.1386	eV/atom

=====

[8]
A plane-wave DFT calculation with PBE-GGA was carried out for a geometry-optimized Tb2Tl4In structure.

Geometry as POSCAR:
```
Tb2Tl4In
1.0
-1.611 -5.326 -1.807
3.534 -2.421 3.984
-5.691 3.880 3.110
Tl Tb In
4 2 1
Cartesian
-3.170 -2.660 1.196
-0.597 -1.207 4.092
-0.806 -2.663 -0.903
1.767 -1.211 1.992
-0.400 -3.872 2.298
-3.367 0.004 2.990
0.000 0.000 0.000
```

electronic total energy	-3.0487	eV/atom

=====

[9]
A plane-wave DFT calculation with PBE-GGA was carried out for a geometry-optimized Tb4TlIn5 structure.

Geometry as POSCAR:
```
Tb4TlIn5
1.0
7.792 0.000 0.000
0.000 10.374 0.000
0.000 0.000 7.225
Tb Tl In
8 2 10
Cartesian
6.294 0.000 5.421
3.967 7.086 0.000
3.967 3.288 0.000
6.294 0.000 1.804
1.498 5.187 1.808
3.825 8.475 3.612
3.825 1.899 3.612
1.498 5.187 5.416
3.626 0.000 0.000
4.166 5.187 3.612
1.356 8.370 5.759
1.356 2.004 5.759
6.690 5.187 0.000
1.356 8.370 1.466
1.356 2.004 1.466
6.436 7.191 2.146
6.436 3.183 2.146
1.102 0.000 3.612
6.436 3.183 5.078
6.436 7.191 5.078
```

electronic total energy	-3.6112	eV/atom

=====

[10]
A plane-wave DFT calculation with PBE-GGA was carried out for a geometry-optimized Tb3TlIn2 structure.

Geometry as POSCAR:
```
Tb3TlIn2
1.0
-0.693 -1.304 -3.448
3.655 0.210 -0.814
1.469 -10.831 3.800
Tb Tl In
3 1 2
Cartesian
0.000 0.000 0.000
0.985 -7.257 2.546
0.485 -3.574 1.254
2.216 -5.962 -0.231
2.708 -9.586 1.040
1.724 -2.338 -1.502
```

electronic total energy	-4.0590	eV/atom

=====

[11]
A plane-wave DFT calculation with PBE-GGA was carried out for a geometry-optimized Tb7Tl2In2 structure.

Geometry as POSCAR:
```
Tb7Tl2In2
1.0
-0.005 -5.495 4.193
6.907 2.192 2.880
-3.027 5.321 3.209
Tb Tl In
7 2 2
Cartesian
0.475 -2.198 6.630
1.885 4.130 7.355
3.401 4.217 3.653
1.991 -2.112 2.927
0.000 0.000 0.000
3.553 1.519 5.815
0.323 0.499 4.468
6.021 -0.150 6.786
-2.146 2.168 3.496
0.957 0.953 7.536
2.918 1.065 2.747
```

electronic total energy	-3.9226	eV/atom

=====

[12]
A plane-wave DFT calculation with PBE-GGA was carried out for a geometry-optimized Tb3TlIn structure.

Geometry as POSCAR:
```
Tb3TlIn
1.0
10.520 0.959 0.755
3.294 7.682 -0.544
3.294 1.276 7.595
Tb Tl In
12 4 4
Cartesian
8.226 6.417 0.490
14.141 8.412 2.060
8.881 3.499 7.315
2.966 1.505 5.745
10.961 3.808 0.756
11.406 8.766 4.658
6.146 6.108 7.049
5.701 1.150 3.146
9.016 6.386 5.238
2.831 2.845 2.451
8.091 3.530 2.567
14.276 7.071 5.354
11.787 5.240 6.291
10.580 3.050 4.567
5.320 4.676 1.514
6.527 6.867 3.238
5.924 1.809 7.410
11.184 8.107 0.395
5.924 3.690 5.020
11.184 6.226 2.785
```

offset from the most stable computed form	0.105	eV per atom